A plane-wave DFT calculation with meta-GGA SCAN was carried out for a crystal of Zr3ZnI relaxed with PBEsol.

symmetry: Pm-3m, No. 221
raw total energy: -137.2 eV/f.u.

Cell and atoms, written as POSCAR:
```
Zr3ZnI
1.0
5.156 0.000 0.000
0.000 5.156 0.000
0.000 0.000 5.156
I Zn Zr
1 1 3
Cartesian
0.000 0.000 0.000
2.578 2.578 2.578
0.000 2.578 0.000
0.000 0.000 2.578
2.578 0.000 0.000
```

=====

A plane-wave DFT calculation with meta-GGA SCAN was carried out for a crystal of ZrI4 relaxed with PBEsol.

symmetry: P2/c, No. 13
raw total energy: -182.6 eV/f.u.

Cell and atoms, written as POSCAR:
```
ZrI4
1.0
8.316 0.000 0.000
0.000 8.351 0.071
0.000 3.944 17.378
I Zr
24 6
Cartesian
1.015 7.037 15.838
5.038 7.275 4.508
1.023 2.877 10.086
3.092 5.005 7.382
1.015 7.377 4.345
1.015 2.946 4.415
1.023 11.389 16.051
3.278 5.019 12.940
7.301 5.258 1.610
7.301 4.918 13.104
3.278 9.247 13.197
7.301 5.065 7.150
5.038 3.047 4.251
5.395 2.983 10.197
2.921 9.311 7.251
7.301 9.349 13.033
1.015 7.230 10.299
5.224 6.977 16.071
2.921 1.011 1.508
7.293 0.905 1.397
5.224 7.290 10.066
5.395 11.283 15.940
3.092 5.318 1.377
7.293 9.417 7.362
7.301 9.013 10.193
1.015 3.281 7.255
5.024 2.958 13.033
7.301 5.253 15.944
1.015 7.041 1.505
3.293 0.986 4.344
```

=====

A plane-wave DFT calculation with meta-GGA SCAN was carried out for a crystal of ZrI4 relaxed with PBEsol.

symmetry: P2/c, No. 13
raw total energy: -182.6 eV/f.u.

Cell and atoms, written as POSCAR:
```
ZrI4
1.0
-2.826 3.298 -5.492
-4.512 -5.200 2.138
-3.779 5.416 5.197
I Zr
8 2
Cartesian
-4.771 -1.832 3.409
-5.806 5.211 2.405
-5.311 -1.697 -0.563
-6.347 5.346 -1.567
-6.826 0.850 6.209
-7.199 1.272 2.059
-3.918 2.242 -0.216
-4.292 2.665 -4.367
-5.307 7.041 0.264
-1.298 1.673 -0.559
```

=====

A plane-wave DFT calculation with meta-GGA SCAN was carried out for a crystal of KIn2Ir relaxed with PBEsol.

symmetry: Pm, No. 6
ΔE to the lowest computed polymorph: 0.0 kJ/mol of atoms
formation enthalpy at 0 K: -2 kJ/mol of atoms
raw total energy: -146.3 eV/f.u.

Cell and atoms, written as POSCAR:
```
KIn2Ir
1.0
3.062 0.000 0.002
0.000 4.378 0.000
-0.013 0.000 8.082
In Ir K
2 1 1
Cartesian
2.678 0.000 0.471
2.677 2.189 2.878
1.146 0.000 2.760
1.135 2.189 6.021
```

=====

A plane-wave DFT calculation with meta-GGA SCAN was carried out for a crystal of KIn2Ir relaxed with PBEsol.

symmetry: F-43m, No. 216
ΔE to the lowest computed polymorph: 52.7 kJ/mol of atoms
formation enthalpy at 0 K: 51 kJ/mol of atoms
raw total energy: -144.1 eV/f.u.

Cell and atoms, written as POSCAR:
```
KIn2Ir
1.0
-1.472 4.371 1.774
0.556 1.032 4.800
3.348 3.338 1.437
In Ir K
2 1 1
Cartesian
0.000 0.000 0.000
1.824 6.556 6.009
1.216 4.370 4.006
0.608 2.185 2.003
```

=====

A plane-wave DFT calculation with meta-GGA SCAN was carried out for a crystal of K2InIr relaxed with PBEsol.

symmetry: R3m, No. 160
formation enthalpy at 0 K: 11 kJ/mol of atoms
raw total energy: -120.7 eV/f.u.

Cell and atoms, written as POSCAR:
```
K2InIr
1.0
4.529 0.000 0.000
2.265 3.922 0.000
2.265 1.307 8.267
In Ir K
1 1 2
Cartesian
4.529 2.615 3.100
2.265 1.307 3.102
6.794 3.922 0.889
6.794 3.922 5.310
```

=====

A plane-wave DFT calculation with meta-GGA SCAN was carried out for a crystal of K2In2Ir relaxed with PBEsol.

symmetry: I4/mmm, No. 139
formation enthalpy at 0 K: 73 kJ/mol of atoms
raw total energy: -150.7 eV/f.u.

Cell and atoms, written as POSCAR:
```
K2In2Ir
1.0
-1.961 2.623 -1.945
-2.424 0.351 2.917
6.912 4.423 2.725
K Ir In
2 1 2
Cartesian
1.148 3.130 3.064
1.380 4.266 0.633
0.000 0.000 0.000
3.937 4.930 2.679
-1.410 2.467 1.018
```

=====

A plane-wave DFT calculation with meta-GGA SCAN was carried out for a crystal of K2InIr relaxed with PBEsol.

symmetry: C2/m, No. 12
formation enthalpy at 0 K: 54 kJ/mol of atoms
raw total energy: -118.9 eV/f.u.

Cell and atoms, written as POSCAR:
```
K2InIr
1.0
3.219 -0.038 0.000
0.102 5.547 0.000
0.051 2.774 5.404
In Ir K
1 1 2
Cartesian
1.661 2.755 0.000
1.610 -0.019 0.000
0.077 4.160 2.702
0.026 1.387 2.702
```

=====

A plane-wave DFT calculation with meta-GGA SCAN was carried out for a crystal of KIn3Ir relaxed with PBEsol.

symmetry: Pm-3m, No. 221
formation enthalpy at 0 K: -27 kJ/mol of atoms
raw total energy: -181.0 eV/f.u.

Cell and atoms, written as POSCAR:
```
KIn3Ir
1.0
-3.473 -1.698 -3.429
-3.326 -0.950 3.839
-1.891 4.788 -0.455
K Ir In
1 1 3
Cartesian
-4.345 1.070 -0.023
0.000 0.000 0.000
-0.946 2.394 -0.227
-1.737 -0.849 -1.715
-1.663 -0.475 1.919
```

=====

A plane-wave DFT calculation with meta-GGA SCAN was carried out for a crystal of KIn2SnIr relaxed with PBEsol.

symmetry: P4/mmm, No. 123
formation enthalpy at 0 K: 30 kJ/mol of atoms
raw total energy: -180.6 eV/f.u.

Cell and atoms, written as POSCAR:
```
KIn2SnIr
1.0
5.092 0.000 0.000
0.000 5.092 0.000
0.000 0.000 5.738
K Ir Sn In
1 1 1 2
Cartesian
0.000 0.000 2.869
0.000 0.000 0.000
2.546 2.546 2.869
0.000 2.546 0.000
2.546 0.000 0.000
```

=====

A plane-wave DFT calculation with meta-GGA SCAN was carried out for a crystal of La2InIr relaxed with PBEsol.

symmetry: P4/mmm, No. 123
formation enthalpy at 0 K: -68 kJ/mol of atoms
raw total energy: -193.5 eV/f.u.

Cell and atoms, written as POSCAR:
```
La2InIr
1.0
-2.814 1.562 -1.436
-1.962 -1.008 2.749
1.917 7.104 3.973
Ir La In
1 2 1
Cartesian
-1.429 3.829 2.643
1.354 5.015 2.805
0.564 2.089 1.168
-2.388 0.277 0.656
```

=====

A plane-wave DFT calculation with meta-GGA SCAN was carried out for a crystal of La2InIr relaxed with PBEsol.

symmetry: Imm2, No. 44
formation enthalpy at 0 K: -59 kJ/mol of atoms
raw total energy: -193.1 eV/f.u.

Cell and atoms, written as POSCAR:
```
La2InIr
1.0
-0.338 -2.434 -2.639
4.760 -0.835 0.161
-3.091 -2.603 5.261
In Ir La
1 1 2
Cartesian
-0.271 -1.708 -0.854
-0.424 -2.044 1.940
-0.959 -5.023 2.292
1.768 -3.770 0.788
```